Below is crystalline AlCoF2 at its relaxed geometry, with properties calculated at the PBE with a Hubbard U level.

As for the theoretical density: 3.95 g/cm3. For the density of states at the Fermi level, the calculation gives 2.9 states/eV/f.u. The value obtained for the total energy is -3.807 eV/atom. The value obtained for the relative energy among the computed polymorphs is 760 meV/atom.

Lattice parameters (Å, degrees): 5.9294 5.9294 5.9294 90.00 90.00 90.00
Space group Fm-3m (No. 225)
Asymmetric unit:
1 Al 0.0000 0.0000 0.0000 x4
2 Co 0.0000 0.0000 0.5000 x4
3 F 0.2500 0.2500 0.2500 x8